[1]
Sr2ScUS6 (PBE, optimized geometry); spin magnetization = 1.0 μB/f.u.; formation energy from raw total energies = -1.809 eV per atom
1.0
-4.2414 4.7124 2.6220
-2.0382 -4.7027 5.1548
7.2525 3.3461 5.9202
Sr Sc U S
4 2 2 12
direct
0.0244 0.9232 0.2519 Sr
0.5244 0.5768 0.7519 Sr
0.9756 0.0768 0.7481 Sr
0.4756 0.4232 0.2481 Sr
0.5000 0.0000 0.0000 Sc
0.0000 0.5000 0.5000 Sc
0.5000 0.0000 0.5000 U
0.0000 0.5000 0.0000 U
0.3067 0.6990 0.0516 S
0.8067 0.8010 0.5516 S
0.6933 0.3010 0.9484 S
0.1933 0.1990 0.4484 S
0.3047 0.6972 0.4478 S
0.8047 0.8028 0.9478 S
0.6953 0.3028 0.5522 S
0.1953 0.1972 0.0522 S
0.8998 0.5251 0.2522 S
0.3998 0.9749 0.7522 S
0.1002 0.4749 0.7478 S
0.6002 0.0251 0.2478 S

[2]
Sr2YScS4 (PBE, optimized geometry); spin magnetization = 0.0 μB/f.u.; formation energy from raw total energies = -1.981 eV per atom
1.0
-3.2194 -0.2822 2.3371
-3.5460 -2.7649 -5.2186
3.1242 -5.2003 3.6758
Sr Y Sc S
2 1 1 4
direct
0.5000 0.0000 0.5000 Sr
0.0000 0.5000 0.5000 Sr
0.5000 0.5000 0.0000 Y
0.0000 0.0000 0.0000 Sc
0.5000 0.2332 0.2205 S
0.5000 0.7668 0.7795 S
0.0000 0.2507 0.7747 S
0.0000 0.7493 0.2253 S

[3]
SrZrSc2S (PBE, optimized geometry); spin magnetization = 0.0 μB/f.u.; formation energy from raw total energies = 0.184 eV per atom
1.0
5.3851 0.0000 0.0000
0.0000 5.0620 0.0000
0.0000 0.0000 5.3851
Sc Sr S Zr
2 1 1 1
direct
0.0000 0.0000 0.5000 Sc
0.5000 0.0000 0.0000 Sc
0.5000 0.5000 0.5000 Sr
0.0000 0.5000 0.0000 S
0.0000 0.0000 0.0000 Zr

[4]
Sc3TaS (PBE, optimized geometry); ΔE to the lowest computed polymorph = 958 meV per atom; spin magnetization = 0.0 μB/f.u.; formation energy from raw total energies = 0.705 eV per atom
1.0
-1.7962 4.7785 0.2639
0.1816 -0.2136 5.1041
4.7823 1.8029 -0.0947
Sc S Ta
3 1 1
direct
0.0000 0.5000 0.0000 Sc
0.0000 0.0000 0.5000 Sc
0.5000 0.0000 0.0000 Sc
0.5000 0.5000 0.5000 S
0.0000 0.0000 0.0000 Ta

[5]
ScTa4S8 (PBE, optimized geometry); spin magnetization = 0.0 μB/f.u.; formation energy from raw total energies = -1.137 eV per atom
1.0
-4.3772 -1.8019 -4.8667
3.4169 -4.7625 3.4255
-2.8051 2.5333 6.3204
Sc Ta S
1 4 8
direct
0.0000 0.5000 0.5000 Sc
0.0000 0.0000 0.0000 Ta
0.0000 0.5000 0.0000 Ta
0.5000 0.5000 0.0000 Ta
0.5000 0.0000 0.0000 Ta
0.4957 0.7479 0.2436 S
0.5043 0.2521 0.7564 S
0.4925 0.2462 0.2503 S
0.9960 0.2422 0.7497 S
0.5075 0.7538 0.7497 S
0.9960 0.7538 0.7497 S
0.0040 0.2462 0.2503 S
0.0040 0.7578 0.2503 S

[6]
ScTaS2 (PBE, optimized geometry); ΔE to the lowest computed polymorph = 0 meV per atom; spin magnetization = 0.0 μB/f.u.; formation energy from raw total energies = -1.000 eV per atom
1.0
2.2342 -3.5556 1.4331
-1.0489 -1.8599 3.8895
-1.9770 -3.9711 0.0988
Sc S Ta
1 2 1
direct
0.0000 0.0000 0.0000 Sc
0.2500 0.2500 0.2500 S
0.7500 0.7500 0.7500 S
0.5000 0.5000 0.5000 Ta

[7]
ScTa3S (PBE, optimized geometry); ΔE to the lowest computed polymorph = 0 meV per atom; spin magnetization = 0.0 μB/f.u.; formation energy from raw total energies = 0.073 eV per atom
1.0
-4.0929 0.4731 -2.0667
-1.9819 -2.4496 3.3643
-0.7531 3.8759 2.3785
Sc S Ta
1 1 3
direct
0.5000 0.5000 0.5000 Sc
0.0000 0.0000 0.0000 S
0.0000 0.5000 0.0000 Ta
0.0000 0.0000 0.5000 Ta
0.5000 0.0000 0.0000 Ta

[8]
ScTa3S (PBE, optimized geometry); ΔE to the lowest computed polymorph = 2010 meV per atom; spin magnetization = 0.0 μB/f.u.; formation energy from raw total energies = 2.083 eV per atom
1.0
-3.5176 -2.3472 2.2372
-0.6859 -2.6875 -3.8980
3.1692 -3.1868 1.6395
Sc S Ta
1 1 3
direct
0.0000 0.0000 0.0000 Sc
0.5000 0.5000 0.5000 S
0.0000 0.5000 0.0000 Ta
0.0000 0.0000 0.5000 Ta
0.5000 0.0000 0.0000 Ta

[9]
ScTaS2 (PBE, optimized geometry); ΔE to the lowest computed polymorph = 177 meV per atom; spin magnetization = 0.0 μB/f.u.; formation energy from raw total energies = -0.823 eV per atom
1.0
4.6364 -6.7728 2.3819
6.5268 -5.5171 -0.0572
6.7496 -4.2796 3.0280
Sc S Ta
1 2 1
direct
0.0000 0.0000 0.0000 Sc
0.8974 0.8974 0.8974 S
0.1026 0.1026 0.1026 S
0.5000 0.5000 0.5000 Ta

[10]
ScTaS2 (PBE, optimized geometry); ΔE to the lowest computed polymorph = 265 meV per atom; spin magnetization = 0.8 μB/f.u.; formation energy from raw total energies = -0.735 eV per atom
1.0
-2.8941 -4.6378 -0.4252
2.1026 -0.8545 -4.9915
4.0823 -5.7609 -0.3059
Sc S Ta
2 4 2
direct
0.5000 0.5000 0.0000 Sc
0.2500 0.7500 0.5000 Sc
0.6443 0.1250 0.2500 S
0.1057 0.6250 0.2500 S
0.3750 0.3557 0.7500 S
0.8750 0.8943 0.7500 S
0.0000 0.0000 0.0000 Ta
0.7500 0.2500 0.5000 Ta

[11]
Sc3TaS (PBE, optimized geometry); ΔE to the lowest computed polymorph = 0 meV per atom; spin magnetization = 0.0 μB/f.u.; formation energy from raw total energies = -0.252 eV per atom
1.0
4.7848 0.0000 0.0000
0.0000 4.7848 0.0000
0.0000 0.0000 4.7848
Sc S Ta
3 1 1
direct
0.0000 0.5000 0.0000 Sc
0.0000 0.0000 0.5000 Sc
0.5000 0.0000 0.0000 Sc
0.0000 0.0000 0.0000 S
0.5000 0.5000 0.5000 Ta

[12]
ScTa2VS (PBE, optimized geometry); spin magnetization = 0.0 μB/f.u.; formation energy from raw total energies = 0.020 eV per atom
1.0
4.6501 0.0000 0.0000
0.0000 4.2811 0.0000
0.0000 0.0000 4.6501
Sc S V Ta
1 1 1 2
direct
0.5000 0.5000 0.5000 Sc
0.0000 0.0000 0.0000 S
0.0000 0.5000 0.0000 V
0.0000 0.0000 0.5000 Ta
0.5000 0.0000 0.0000 Ta

[13]
Tb5Sc3S8 (PBE, optimized geometry); spin magnetization = 0.0 μB/f.u.; formation energy from raw total energies = -1.936 eV per atom
1.0
6.6700 0.0000 3.8206
2.2408 6.2823 3.8206
0.0224 0.0158 7.6934
Tb Sc S
5 3 8
direct
0.5000 0.0000 0.0000 Tb
0.5000 0.5000 0.0000 Tb
0.0000 0.0000 0.0000 Tb
0.0000 0.5000 0.0000 Tb
0.5000 0.5000 0.5000 Tb
0.5000 0.0000 0.5000 Sc
0.0000 0.0000 0.5000 Sc
0.0000 0.5000 0.5000 Sc
0.2500 0.2500 0.7376 S
0.2500 0.7624 0.7376 S
0.7624 0.2500 0.7376 S
0.7561 0.7561 0.7317 S
0.7500 0.7500 0.2624 S
0.7500 0.2376 0.2624 S
0.2376 0.7500 0.2624 S
0.2439 0.2439 0.2683 S

[14]
TbScS3 (PBE, optimized geometry); spin magnetization = 0.0 μB/f.u.; formation energy from raw total energies = -1.959 eV per atom
1.0
3.7449 0.0000 0.0000
0.0000 7.8759 0.0000
0.0000 0.0000 14.0114
Tb Sc S
4 4 12
direct
0.7500 0.8620 0.7987 Tb
0.2500 0.1380 0.2013 Tb
0.7500 0.3620 0.7013 Tb
0.2500 0.6380 0.2987 Tb
0.2500 0.3071 0.9607 Sc
0.2500 0.8071 0.5393 Sc
0.7500 0.1929 0.4607 Sc
0.7500 0.6929 0.0393 Sc
0.2500 0.3436 0.5539 S
0.7500 0.8463 0.2049 S
0.7500 0.4920 0.8899 S
0.7500 0.9920 0.6101 S
0.7500 0.6564 0.4461 S
0.2500 0.0080 0.3899 S
0.2500 0.8436 0.9461 S
0.7500 0.3463 0.2951 S
0.2500 0.6537 0.7049 S
0.2500 0.1537 0.7951 S
0.7500 0.1564 0.0539 S
0.2500 0.5080 0.1101 S

[15]
TbScS (PBE, optimized geometry); ΔE to the lowest computed polymorph = 0 meV per atom; spin magnetization = 0.0 μB/f.u.; formation energy from raw total energies = -1.247 eV per atom
1.0
-2.9184 -1.3957 1.7936
0.5057 -2.1013 3.0018
-1.0145 3.6661 5.0162
S Sc Tb
1 1 1
direct
0.3640 0.3640 0.9079 S
0.1081 0.1081 0.6758 Sc
0.6014 0.6014 0.1957 Tb

[16]
TbSc3S4 (PBE, optimized geometry); spin magnetization = 0.0 μB/f.u.; formation energy from raw total energies = -1.887 eV per atom
1.0
3.7366 0.0000 0.0000
0.0000 6.5169 -0.0489
0.0000 -2.1010 6.1692
Tb Sc S
1 3 4
direct
0.5000 0.0000 0.0000 Tb
0.0000 0.0000 0.5000 Sc
0.5000 0.5000 0.5000 Sc
0.0000 0.5000 0.0000 Sc
0.0000 0.2624 0.2624 S
0.5000 0.7439 0.2561 S
0.0000 0.7376 0.7376 S
0.5000 0.2561 0.7439 S

[17]
Tb2ScS4 (PBE, optimized geometry); ΔE to the lowest computed polymorph = 187 meV per atom; spin magnetization = 0.0 μB/f.u.; formation energy from raw total energies = -1.808 eV per atom
1.0
6.9416 0.0000 0.2562
0.0000 6.8137 0.0000
-2.2621 0.0000 7.1125
Tb Sc S
4 2 8
direct
0.6763 0.7500 0.0462 Tb
0.3237 0.2500 0.9538 Tb
0.3122 0.2500 0.4568 Tb
0.6878 0.7500 0.5432 Tb
0.1974 0.7500 0.1748 Sc
0.8026 0.2500 0.8252 Sc
0.4883 0.5037 0.2495 S
0.9787 0.7500 0.8678 S
0.0213 0.2500 0.1322 S
0.4883 0.9963 0.2495 S
0.0194 0.2500 0.6299 S
0.5117 0.0037 0.7505 S
0.5117 0.4963 0.7505 S
0.9806 0.7500 0.3701 S

[18]
TbSc3S (PBE, optimized geometry); spin magnetization = 1.4 μB/f.u.; formation energy from raw total energies = -0.600 eV per atom
1.0
4.9793 0.0000 0.0000
0.0000 4.9793 0.0000
0.0000 0.0000 4.9793
Sc S Tb
3 1 1
direct
0.0000 0.5000 0.0000 Sc
0.0000 0.0000 0.5000 Sc
0.5000 0.0000 0.0000 Sc
0.0000 0.0000 0.0000 S
0.5000 0.5000 0.5000 Tb

[19]
Tb3Sc4S8 (PBE, optimized geometry); spin magnetization = 0.0 μB/f.u.; formation energy from raw total energies = -1.963 eV per atom
1.0
7.5600 -0.1057 -0.1518
-3.6880 6.6500 0.1388
-3.6880 -2.1784 6.2847
Tb Sc S
3 4 8
direct
0.5000 0.5000 0.0000 Tb
0.5000 0.0000 0.5000 Tb
0.5000 0.5000 0.5000 Tb
0.5000 0.0000 0.0000 Sc
0.0000 0.5000 0.0000 Sc
0.0000 0.0000 0.0000 Sc
0.0000 0.0000 0.5000 Sc
0.4912 0.2398 0.2398 S
0.0000 0.7544 0.2456 S
0.9885 0.2405 0.2405 S
0.5000 0.7558 0.2442 S
0.5000 0.2442 0.7558 S
0.0115 0.7595 0.7595 S
0.0000 0.2456 0.7544 S
0.5088 0.7602 0.7602 S

[20]
TbScS (PBE, optimized geometry); ΔE to the lowest computed polymorph = 14 meV per atom; spin magnetization = 0.0 μB/f.u.; formation energy from raw total energies = -1.233 eV per atom
1.0
3.6836 0.0000 0.0000
-1.8418 3.1901 0.0000
0.0000 0.0000 6.0320
Sc S Tb
1 1 1
direct
0.6667 0.3333 0.4108 Sc
0.3333 0.6667 0.6508 S
0.0000 0.0000 0.9384 Tb

[21]
TbSc4S6 (PBE, optimized geometry); spin magnetization = 0.0 μB/f.u.; formation energy from raw total energies = -1.955 eV per atom
1.0
3.6884 0.0000 0.0000
-1.8442 6.0777 0.0000
0.0000 0.0000 18.9864
Tb Sc S
2 8 12
direct
0.6527 0.3055 0.2500 Tb
0.3473 0.6945 0.7500 Tb
0.8599 0.7198 0.5389 Sc
0.4064 0.8129 0.1245 Sc
0.1401 0.2802 0.4612 Sc
0.5936 0.1871 0.8755 Sc
0.8599 0.7198 0.9612 Sc
0.1401 0.2802 0.0388 Sc
0.5936 0.1871 0.6245 Sc
0.4064 0.8129 0.3755 Sc
0.5000 0.0000 0.0000 S
0.5000 0.0000 0.5000 S
0.0464 0.0927 0.3377 S
0.9536 0.9073 0.6623 S
0.9536 0.9073 0.8377 S
0.0464 0.0927 0.1623 S
0.7686 0.5373 0.4126 S
0.2314 0.4627 0.5874 S
0.2314 0.4627 0.9126 S
0.7686 0.5373 0.0874 S
0.3181 0.6361 0.2500 S
0.6819 0.3639 0.7500 S

[22]
Tb3ScS (PBE, optimized geometry); spin magnetization = 0.0 μB/f.u.; formation energy from raw total energies = -0.611 eV per atom
1.0
5.2671 0.0000 0.0000
0.0000 5.2671 0.0000
0.0000 0.0000 5.2671
Sc S Tb
1 1 3
direct
0.5000 0.5000 0.5000 Sc
0.0000 0.0000 0.0000 S
0.0000 0.5000 0.0000 Tb
0.0000 0.0000 0.5000 Tb
0.5000 0.0000 0.0000 Tb

[23]
TbSc6S8 (PBE, optimized geometry); ΔE to the lowest computed polymorph = 0 meV per atom; spin magnetization = 0.0 μB/f.u.; formation energy from raw total energies = -1.923 eV per atom
1.0
-4.2693 -5.4202 2.6866
2.1145 -7.0627 -0.6859
2.1712 -3.8105 5.9657
Tb Sc S
1 6 8
direct
0.0000 0.0000 0.0000 Tb
0.0000 0.5000 0.5000 Sc
0.5000 0.0000 0.0000 Sc
0.5000 0.5000 0.0000 Sc
0.0000 0.0000 0.5000 Sc
0.0000 0.5000 0.0000 Sc
0.5000 0.0000 0.5000 Sc
0.7500 0.7500 0.7500 S
0.2500 0.2500 0.2500 S
0.7404 0.2596 0.2596 S
0.2596 0.7404 0.7404 S
0.2596 0.2596 0.7404 S
0.7404 0.7404 0.2596 S
0.7404 0.2596 0.7404 S
0.2596 0.7404 0.2596 S